1.
MgIn4Sn3 | PBE-GGA | relaxed

a = 13.3145 Å, b = 13.3145 Å, c = 3.3778 Å
α = 96.98°, β = 96.98°, γ = 21.36°
With the nearest neighbours (Å) after each atom.
Element x y z (fractional)
Mg 0.0000 0.0000 0.0000  4 Sn 2.99, 4 In 3.06-3.09
In 0.0989 0.0989 0.6013  2 Mg 3.06-3.09, 3 In 3.16-3.38, 4 Sn 3.32-3.33
In 0.2207 0.2207 0.7187  7 In 3.16-3.38, 5 Sn 3.24-3.45
In 0.7793 0.7793 0.2813  7 In 3.16-3.38, 5 Sn 3.24-3.45
In 0.9011 0.9011 0.3987  2 Mg 3.06-3.09, 3 In 3.16-3.38, 4 Sn 3.32-3.33
Sn 0.3454 0.3454 0.8416  9 In 3.24-3.45, 2 Sn 3.38
Sn 0.5000 0.5000 0.5000  4 Mg 2.99
Sn 0.6546 0.6546 0.1584  9 In 3.24-3.45, 2 Sn 3.38

Calculated values
Energy, eV per cell: -24.24
ΔH_f (0 K), eV per atom: 0.0400
Crystal system: monoclinic

=====

2.
MgIn2Sn2 | PBE-GGA | relaxed

a = 9.2714 Å, b = 9.2714 Å, c = 3.3032 Å
α = 97.62°, β = 97.62°, γ = 27.96°
With the nearest neighbours (Å) after each atom.
Element x y z (fractional)
Mg 0.0000 0.0000 0.0000  8 Sn 3.19-3.23, 2 Mg 3.30, 2 In 3.48
In 0.1949 0.1949 0.1793  6 In 3.30-3.50, 4 Sn 3.32-3.40, 1 Mg 3.48
In 0.8051 0.8051 0.8207  6 In 3.30-3.50, 4 Sn 3.32-3.40, 1 Mg 3.48
Sn 0.4105 0.4105 0.4216  4 Mg 3.19-3.23, 3 Sn 3.19-3.30, 4 In 3.32-3.40
Sn 0.5895 0.5895 0.5784  4 Mg 3.19-3.23, 3 Sn 3.19-3.30, 4 In 3.32-3.40

Calculated values
Energy, eV per cell: -15.19
ΔH_f (0 K), eV per atom: -0.0235
Crystal system: monoclinic

=====

3.
Mg4In15Sn | PBE-GGA | relaxed

a = 4.6871 Å, b = 4.6871 Å, c = 23.1866 Å
α = 90.00°, β = 90.00°, γ = 90.00°
With the nearest neighbours (Å) after each atom.
Element x y z (fractional)
Mg 0.0000 0.0000 0.0991  12 In 3.27-3.31
Mg 0.0000 0.0000 0.2952  12 In 3.26-3.31
Mg 0.0000 0.0000 0.7048  12 In 3.26-3.31
Mg 0.0000 0.0000 0.9009  12 In 3.27-3.31
In 0.0000 0.5000 0.0000  8 In 3.27-3.31, 4 Mg 3.28
In 0.0000 0.5000 0.1974  8 In 3.26-3.31, 4 Mg 3.26-3.27
In 0.0000 0.5000 0.3949  2 Mg 3.29, 8 In 3.29-3.38, 2 Sn 3.38
In 0.0000 0.5000 0.6051  2 Mg 3.29, 8 In 3.29-3.38, 2 Sn 3.38
In 0.0000 0.5000 0.8026  8 In 3.26-3.31, 4 Mg 3.26-3.27
In 0.5000 0.0000 0.0000  8 In 3.27-3.31, 4 Mg 3.28
In 0.5000 0.0000 0.1974  8 In 3.26-3.31, 4 Mg 3.26-3.27
In 0.5000 0.0000 0.3949  2 Mg 3.29, 8 In 3.29-3.38, 2 Sn 3.38
In 0.5000 0.0000 0.6051  2 Mg 3.29, 8 In 3.29-3.38, 2 Sn 3.38
In 0.5000 0.0000 0.8026  8 In 3.26-3.31, 4 Mg 3.26-3.27
In 0.5000 0.5000 0.0982  8 In 3.27-3.28, 4 Mg 3.31
In 0.5000 0.5000 0.2951  8 In 3.26-3.29, 4 Mg 3.31
In 0.5000 0.5000 0.5000  4 Sn 3.31, 8 In 3.38
In 0.5000 0.5000 0.7049  8 In 3.26-3.29, 4 Mg 3.31
In 0.5000 0.5000 0.9018  8 In 3.27-3.28, 4 Mg 3.31
Sn 0.0000 0.0000 0.5000  12 In 3.31-3.38

Calculated values
Energy, eV per cell: -51.94
ΔH_f (0 K), eV per atom: -0.0239
Crystal system: tetragonal

=====

4.
Mg4In4Sn5 | PBE-GGA | relaxed

a = 8.7276 Å, b = 8.7276 Å, c = 8.7276 Å
α = 94.05°, β = 94.05°, γ = 149.20°
With the nearest neighbours (Å) after each atom.
Element x y z (fractional)
Mg 0.1458 0.2282 0.3741  6 Sn 3.15-3.36, 4 In 3.22-3.35, 2 Mg 3.43
Mg 0.2282 0.8542 0.0824  6 Sn 3.15-3.36, 4 In 3.22-3.35, 2 Mg 3.43
Mg 0.7718 0.1458 0.9176  6 Sn 3.15-3.36, 4 In 3.22-3.35, 2 Mg 3.43
Mg 0.8542 0.7718 0.6259  6 Sn 3.15-3.36, 4 In 3.22-3.35, 2 Mg 3.43
In 0.0865 0.6134 0.7000  4 Mg 3.22-3.35, 3 Sn 3.26-3.27, 5 In 3.34-3.40
In 0.3866 0.0865 0.4731  4 Mg 3.22-3.35, 3 Sn 3.26-3.27, 5 In 3.34-3.40
In 0.6134 0.9135 0.5269  4 Mg 3.22-3.35, 3 Sn 3.26-3.27, 5 In 3.34-3.40
In 0.9135 0.3866 0.3000  4 Mg 3.22-3.35, 3 Sn 3.26-3.27, 5 In 3.34-3.40
Sn 0.0000 0.0000 0.0000  4 Mg 3.22, 8 Sn 3.36
Sn 0.3031 0.4440 0.7471  5 Mg 3.15-3.36, 3 In 3.26-3.27, 4 Sn 3.36-3.44
Sn 0.4440 0.6969 0.1408  5 Mg 3.15-3.36, 3 In 3.26-3.27, 4 Sn 3.36-3.44
Sn 0.5560 0.3031 0.8592  5 Mg 3.15-3.36, 3 In 3.26-3.27, 4 Sn 3.36-3.44
Sn 0.6969 0.5560 0.2529  5 Mg 3.15-3.36, 3 In 3.26-3.27, 4 Sn 3.36-3.44

Calculated values
Energy, eV per cell: -37.94
ΔH_f (0 K), eV per atom: -0.0455
Crystal system: tetragonal